! PBE BaSr2TcN4, relaxed; values from VASP
! electronic total energy: -6.726 eV/atom
! raw formation energy: -0.607 eV per atom
! SG: Pmn2_1 (31)
&SYSTEM
  ibrav = 0, nat = 16, ntyp = 4
/
ATOMIC_SPECIES
Tc 98.00 Tc.upf
Sr 87.62 Sr.upf
N 14.01 N.upf
Ba 137.33 Ba.upf
ATOMIC_POSITIONS crystal
Tc 0.004 0.182 0.000
Tc 0.504 0.818 0.500
Sr 0.983 0.657 0.240
Sr 0.483 0.343 0.740
Sr 0.983 0.657 0.760
Sr 0.483 0.343 0.260
N 0.805 0.773 0.500
N 0.390 0.703 0.307
N 0.890 0.297 0.193
N 0.970 0.912 0.000
N 0.390 0.703 0.693
N 0.470 0.088 0.500
N 0.305 0.227 0.000
N 0.890 0.297 0.807
Ba 0.975 0.120 0.500
Ba 0.475 0.880 0.000
CELL_PARAMETERS angstrom
-1.376 -5.701 -1.624
6.595 -1.087 -1.773
1.572 -2.478 7.367

! PBE La4RhSe2Cl, relaxed; values from VASP
! electronic total energy: -6.062 eV/atom
! raw formation energy: -1.577 eV per atom
! SG: P2/m (10)
&SYSTEM
  ibrav = 0, nat = 8, ntyp = 4
/
ATOMIC_SPECIES
La 138.91 La.upf
Rh 102.91 Rh.upf
Cl 35.45 Cl.upf
Se 78.96 Se.upf
ATOMIC_POSITIONS crystal
La 0.500 0.267 0.730
La 0.000 0.750 0.746
La 0.500 0.733 0.270
La 0.000 0.250 0.254
Rh 0.000 0.500 0.500
Cl 0.500 0.500 0.000
Se 0.500 0.000 0.500
Se 0.000 0.000 0.000
CELL_PARAMETERS angstrom
4.180 0.000 0.000
0.000 7.557 -0.192
0.000 2.620 6.932

! PBE Ho6NiBi2, relaxed; values from VASP
! formation energy: -3.78 eV/f.u.
! electronic total energy: -4.976 eV/atom
! SG: P2_1/c (14)
&SYSTEM
  ibrav = 0, nat = 18, ntyp = 3
/
ATOMIC_SPECIES
Ho 164.93 Ho.upf
Ni 58.69 Ni.upf
Bi 208.98 Bi.upf
ATOMIC_POSITIONS crystal
Ho 0.367 0.818 0.039
Ho 0.138 0.309 0.037
Ho 0.362 0.809 0.463
Ho 0.133 0.318 0.461
Ho 0.872 0.978 0.251
Ho 0.867 0.682 0.539
Ho 0.638 0.191 0.537
Ho 0.128 0.022 0.749
Ho 0.372 0.522 0.751
Ho 0.862 0.691 0.963
Ho 0.633 0.182 0.961
Ho 0.628 0.478 0.249
Ni 0.500 0.500 0.000
Ni 0.000 0.000 0.500
Bi 0.100 0.613 0.247
Bi 0.600 0.887 0.747
Bi 0.400 0.113 0.253
Bi 0.900 0.387 0.753
CELL_PARAMETERS angstrom
-1.576 -5.781 2.329
3.480 1.814 6.857
-8.702 4.048 3.346

! PBE Li2NdEr2Pb2, relaxed; values from VASP
! formation energy: -2.25 eV/f.u.
! electronic total energy: -3.913 eV/atom
! SG: R-3m (166)
&SYSTEM
  ibrav = 0, nat = 7, ntyp = 4
/
ATOMIC_SPECIES
Er 167.26 Er.upf
Pb 207.20 Pb.upf
Nd 144.24 Nd.upf
Li 6.94 Li.upf
ATOMIC_POSITIONS crystal
Er 0.131 0.131 0.608
Er 0.869 0.869 0.392
Pb 0.261 0.261 0.218
Pb 0.739 0.739 0.782
Nd 0.000 0.000 0.000
Li 0.414 0.414 0.759
Li 0.586 0.586 0.241
CELL_PARAMETERS angstrom
4.871 0.000 0.000
2.435 4.218 0.000
2.435 1.406 8.936

! PBE FeAgAs2, relaxed; values from VASP
! formation energy: 1.06 eV/f.u.
! electronic total energy: -4.889 eV/atom
! energy above the lowest structure with this stoichiometry: 216 meV per atom
! SG: I-42d (122)
&SYSTEM
  ibrav = 0, nat = 8, ntyp = 3
/
ATOMIC_SPECIES
As 74.92 As.upf
Fe 55.84 Fe.upf
Ag 107.87 Ag.upf
ATOMIC_POSITIONS crystal
As 0.375 0.435 0.750
As 0.875 0.815 0.750
As 0.565 0.125 0.250
As 0.185 0.625 0.250
Fe 0.250 0.750 0.500
Fe 0.500 0.500 0.000
Ag 0.750 0.250 0.500
Ag 0.000 0.000 0.000
CELL_PARAMETERS angstrom
5.767 0.000 0.000
0.000 5.767 0.000
2.884 2.884 5.212

! PBE KAlPb, relaxed; values from VASP
! formation energy: 0.12 eV/f.u.
! electronic total energy: -2.808 eV/atom
! SG: Pmmm (47)
&SYSTEM
  ibrav = 0, nat = 6, ntyp = 3
/
ATOMIC_SPECIES
Pb 207.20 Pb.upf
K 39.10 K.upf
Al 26.98 Al.upf
ATOMIC_POSITIONS crystal
Pb 0.819 0.500 0.000
Pb 0.181 0.500 0.000
K 0.500 0.500 0.500
K 0.000 0.000 0.500
Al 0.343 0.000 0.000
Al 0.657 0.000 0.000
CELL_PARAMETERS angstrom
-4.760 -2.454 -6.278
0.083 -4.456 1.679
-4.577 1.065 3.054

! PBE YOs2W2, relaxed; values from VASP
! formation energy: -0.32 eV/f.u.
! electronic total energy: -11.029 eV/atom
! energy above the lowest structure with this stoichiometry: 0 meV per atom
! SG: I4/mmm (139)
&SYSTEM
  ibrav = 0, nat = 5, ntyp = 3
/
ATOMIC_SPECIES
Y 88.91 Y.upf
W 183.84 W.upf
Os 190.23 Os.upf
ATOMIC_POSITIONS crystal
Y 0.000 0.000 0.000
W 0.250 0.750 0.500
W 0.750 0.250 0.500
Os 0.623 0.623 0.754
Os 0.377 0.377 0.246
CELL_PARAMETERS angstrom
4.334 0.000 0.000
0.000 4.334 0.000
2.167 2.167 5.252

! PBE NbBi3Os, relaxed; values from VASP
! formation energy: 6.40 eV/f.u.
! electronic total energy: -5.309 eV/atom
! energy above the lowest structure with this stoichiometry: 0 meV per atom
! SG: Pm-3m (221)
&SYSTEM
  ibrav = 0, nat = 5, ntyp = 3
/
ATOMIC_SPECIES
Bi 208.98 Bi.upf
Os 190.23 Os.upf
Nb 92.91 Nb.upf
ATOMIC_POSITIONS crystal
Bi 0.500 0.000 0.000
Bi 0.000 0.500 0.000
Bi 0.000 0.000 0.500
Os 0.000 0.000 0.000
Nb 0.500 0.500 0.500
CELL_PARAMETERS angstrom
-5.048 0.912 -1.324
-1.517 -1.255 4.918
0.533 5.066 1.457

! PBE In3ReIr, relaxed; values from VASP
! formation energy: 6.87 eV/f.u.
! electronic total energy: -4.530 eV/atom
! energy above the lowest structure with this stoichiometry: 296 meV per atom
! SG: Pm-3m (221)
&SYSTEM
  ibrav = 0, nat = 5, ntyp = 3
/
ATOMIC_SPECIES
In 114.82 In.upf
Ir 192.22 Ir.upf
Re 186.21 Re.upf
ATOMIC_POSITIONS crystal
In 0.000 0.000 0.500
In 0.500 0.000 0.000
In 0.000 0.500 0.000
Ir 0.500 0.500 0.500
Re 0.000 0.000 0.000
CELL_PARAMETERS angstrom
-2.913 3.548 -2.308
-4.025 -3.189 0.179
-1.309 1.909 4.587

! PBE La3P2O, relaxed; values from VASP
! electronic total energy: -7.061 eV/atom
! raw formation energy: -1.968 eV per atom
! energy above the lowest structure with this stoichiometry: 0 meV per atom
! SG: Pnma (62)
&SYSTEM
  ibrav = 0, nat = 24, ntyp = 3
/
ATOMIC_SPECIES
La 138.91 La.upf
P 30.97 P.upf
O 16.00 O.upf
ATOMIC_POSITIONS crystal
La 0.750 0.436 0.633
La 0.250 0.728 0.692
La 0.750 0.772 0.192
La 0.250 0.376 0.068
La 0.250 0.064 0.133
La 0.250 0.228 0.808
La 0.250 0.564 0.367
La 0.750 0.936 0.867
La 0.750 0.272 0.308
La 0.250 0.876 0.432
La 0.750 0.124 0.568
La 0.750 0.624 0.932
P 0.250 0.320 0.490
P 0.750 0.504 0.189
P 0.750 0.004 0.311
P 0.250 0.996 0.689
P 0.750 0.680 0.510
P 0.250 0.496 0.811
P 0.250 0.820 0.010
P 0.750 0.180 0.990
O 0.250 0.248 0.212
O 0.750 0.252 0.712
O 0.250 0.748 0.288
O 0.750 0.752 0.788
CELL_PARAMETERS angstrom
-1.202 1.348 3.763
-10.366 -5.205 -1.446
4.433 -10.240 5.082

! PBE SnIr2Au2, relaxed; values from VASP
! formation energy: 2.24 eV/f.u.
! electronic total energy: -5.208 eV/atom
! energy above the lowest structure with this stoichiometry: 244 meV per atom
! SG: I4/mmm (139)
&SYSTEM
  ibrav = 0, nat = 5, ntyp = 3
/
ATOMIC_SPECIES
Ir 192.22 Ir.upf
Sn 118.71 Sn.upf
Au 196.97 Au.upf
ATOMIC_POSITIONS crystal
Ir 0.750 0.250 0.500
Ir 0.250 0.750 0.500
Sn 0.000 0.000 0.000
Au 0.400 0.400 0.200
Au 0.600 0.600 0.800
CELL_PARAMETERS angstrom
-1.001 -2.681 -2.365
3.150 -1.823 0.732
-2.126 -5.679 4.424

! PBE Sm3YPt, relaxed; values from VASP
! formation energy: -2.18 eV/f.u.
! electronic total energy: -5.769 eV/atom
! energy above the lowest structure with this stoichiometry: 67 meV per atom
! SG: P2_1/m (11)
&SYSTEM
  ibrav = 0, nat = 10, ntyp = 3
/
ATOMIC_SPECIES
Pt 195.08 Pt.upf
Sm 150.36 Sm.upf
Y 88.91 Y.upf
ATOMIC_POSITIONS crystal
Pt 0.476 0.706 0.159
Pt 0.976 0.646 0.742
Sm 0.476 0.855 0.470
Sm 0.476 0.896 0.894
Sm 0.976 0.498 0.431
Sm 0.476 0.286 0.239
Sm 0.976 0.457 0.008
Sm 0.976 0.066 0.662
Y 0.976 0.944 0.203
Y 0.476 0.409 0.699
CELL_PARAMETERS angstrom
-0.522 2.183 4.676
-2.429 -5.591 2.338
8.492 -1.772 1.775

In A^3/atom, the V values for the records above are, in order, 20.9 27.6 28.7 26.2 21.7 36.7 19.7 29.7 27.1 24.9 19.4 29.8.